Record 1
# Li3SbS3 PBE relaxed
data_Li3SbS3
_space_group_name_H-M_alt 'P 1'
_space_group_IT_number 1
_cell_length_a 8.7463
_cell_length_b 8.7463
_cell_length_c 8.7463
_cell_angle_alpha 90.00
_cell_angle_beta 90.00
_cell_angle_gamma 90.00
loop_
_space_group_symop_operation_xyz
'x,y,z'
loop_
_atom_site_label
_atom_site_type_symbol
_atom_site_fract_x
_atom_site_fract_y
_atom_site_fract_z
Li1 Li 0.0605 0.4395 0.5605
Li2 Li 0.2220 0.7780 0.2780
Li3 Li 0.2323 0.2323 0.2323
Li4 Li 0.2677 0.7677 0.7323
Li5 Li 0.2780 0.2220 0.7780
Li6 Li 0.4395 0.5605 0.0605
Li7 Li 0.5605 0.0605 0.4395
Li8 Li 0.7220 0.7220 0.7220
Li9 Li 0.7323 0.2677 0.7677
Li10 Li 0.7677 0.7323 0.2677
Li11 Li 0.7780 0.2780 0.2220
Li12 Li 0.9395 0.9395 0.9395
Sb1 Sb 0.0269 0.9731 0.4731
Sb2 Sb 0.4731 0.0269 0.9731
Sb3 Sb 0.5269 0.5269 0.5269
Sb4 Sb 0.9731 0.4731 0.0269
S1 S 0.0016 0.7383 0.1138
S2 S 0.1138 0.0016 0.7383
S3 S 0.2383 0.3862 0.9984
S4 S 0.2617 0.6138 0.4984
S5 S 0.3862 0.9984 0.2383
S6 S 0.4984 0.2617 0.6138
S7 S 0.5016 0.7617 0.8862
S8 S 0.6138 0.4984 0.2617
S9 S 0.7383 0.1138 0.0016
S10 S 0.7617 0.8862 0.5016
S11 S 0.8862 0.5016 0.7617
S12 S 0.9984 0.2383 0.3862
# Polymorph energy (0 for the lowest one) (meV/atom): 59
# Density of states at the Fermi level (states/eV/cell): 0.00

***

Record 2
# Li3SbS3 PBE relaxed
data_Li3SbS3
_space_group_name_H-M_alt 'P 1'
_space_group_IT_number 1
_cell_length_a 7.7780
_cell_length_b 7.7780
_cell_length_c 7.7780
_cell_angle_alpha 54.67
_cell_angle_beta 54.67
_cell_angle_gamma 54.67
loop_
_space_group_symop_operation_xyz
'x,y,z'
loop_
_atom_site_label
_atom_site_type_symbol
_atom_site_fract_x
_atom_site_fract_y
_atom_site_fract_z
Li1 Li 0.1353 0.8142 0.4077
Li2 Li 0.1858 0.5923 0.8647
Li3 Li 0.4077 0.1353 0.8142
Li4 Li 0.5923 0.8647 0.1858
Li5 Li 0.8142 0.4077 0.1353
Li6 Li 0.8647 0.1858 0.5923
Sb1 Sb 0.3149 0.3149 0.3149
Sb2 Sb 0.6851 0.6851 0.6851
S1 S 0.0674 0.4655 0.7319
S2 S 0.2681 0.9326 0.5345
S3 S 0.4655 0.7319 0.0674
S4 S 0.5345 0.2681 0.9326
S5 S 0.7319 0.0674 0.4655
S6 S 0.9326 0.5345 0.2681
# Polymorph energy (0 for the lowest one) (meV/atom): 38
# Density of states at the Fermi level (states/eV/cell): 0.00

***

Record 3
# Li8SbS6 PBE relaxed
data_Li8SbS6
_space_group_name_H-M_alt 'P 1'
_space_group_IT_number 1
_cell_length_a 7.0621
_cell_length_b 7.0621
_cell_length_c 13.4617
_cell_angle_alpha 90.00
_cell_angle_beta 90.00
_cell_angle_gamma 120.00
loop_
_space_group_symop_operation_xyz
'x,y,z'
loop_
_atom_site_label
_atom_site_type_symbol
_atom_site_fract_x
_atom_site_fract_y
_atom_site_fract_z
Li1 Li 0.0000 0.3278 0.0000
Li2 Li 0.0000 0.3803 0.3676
Li3 Li 0.0000 0.6197 0.8676
Li4 Li 0.0000 0.6722 0.5000
Li5 Li 0.3278 0.0000 0.0000
Li6 Li 0.3278 0.3278 0.5000
Li7 Li 0.3333 0.6667 0.1320
Li8 Li 0.3333 0.6667 0.6320
Li9 Li 0.3803 0.0000 0.3676
Li10 Li 0.3803 0.3803 0.8676
Li11 Li 0.6197 0.0000 0.8676
Li12 Li 0.6197 0.6197 0.3676
Li13 Li 0.6667 0.3333 0.1320
Li14 Li 0.6667 0.3333 0.6320
Li15 Li 0.6722 0.0000 0.5000
Li16 Li 0.6722 0.6722 0.0000
Sb1 Sb 0.0000 0.0000 0.2270
Sb2 Sb 0.0000 0.0000 0.7270
S1 S 0.0000 0.0000 0.4166
S2 S 0.0000 0.0000 0.9166
S3 S 0.0000 0.3428 0.1850
S4 S 0.0000 0.6572 0.6850
S5 S 0.3333 0.6667 0.4487
S6 S 0.3333 0.6667 0.9487
S7 S 0.3428 0.0000 0.1850
S8 S 0.3428 0.3428 0.6850
S9 S 0.6572 0.0000 0.6850
S10 S 0.6572 0.6572 0.1850
S11 S 0.6667 0.3333 0.4487
S12 S 0.6667 0.3333 0.9487
# Polymorph energy (0 for the lowest one) (meV/atom): 4
# Density of states at the Fermi level (states/eV/cell): 7.44

***

Record 4
This record from the Alexandria database describes a relaxed structure of Li3Sb17S27. The functional is PBE.

Cell and atoms, written as CIF:
```
data_Li3Sb17S27
_space_group_name_H-M_alt 'P 1'
_space_group_IT_number 1
_cell_length_a 8.8488
_cell_length_b 8.8511
_cell_length_c 15.6656
_cell_angle_alpha 103.51
_cell_angle_beta 96.06
_cell_angle_gamma 96.30
loop_
_space_group_symop_operation_xyz
'x,y,z'
loop_
_atom_site_label
_atom_site_type_symbol
_atom_site_fract_x
_atom_site_fract_y
_atom_site_fract_z
Li1 Li 0.0000 0.0000 0.0000
Li2 Li 0.3182 0.3180 0.9998
Li3 Li 0.6518 0.6613 0.0043
Sb1 Sb 0.0162 0.5526 0.8837
Sb2 Sb 0.0270 0.1462 0.3049
Sb3 Sb 0.1087 0.8301 0.4249
Sb4 Sb 0.1905 0.5044 0.5667
Sb5 Sb 0.2761 0.1588 0.6874
Sb6 Sb 0.3076 0.7732 0.1149
Sb7 Sb 0.3537 0.8802 0.8870
Sb8 Sb 0.3712 0.4925 0.3052
Sb9 Sb 0.4471 0.1652 0.4433
Sb10 Sb 0.5318 0.8281 0.5628
Sb11 Sb 0.6159 0.4989 0.6872
Sb12 Sb 0.6216 0.0866 0.1158
Sb13 Sb 0.6865 0.2154 0.8869
Sb14 Sb 0.7677 0.4902 0.4248
Sb15 Sb 0.8651 0.1578 0.5644
Sb16 Sb 0.9441 0.4459 0.1059
Sb17 Sb 0.9497 0.8192 0.6819
S1 S 0.0010 0.2874 0.9640
S2 S 0.0071 0.8555 0.2741
S3 S 0.0420 0.8360 0.8517
S4 S 0.0493 0.5194 0.3796
S5 S 0.1472 0.1691 0.5048
S6 S 0.2431 0.8157 0.6260
S7 S 0.2747 0.4840 0.1443
S8 S 0.3064 0.0325 0.0333
S9 S 0.3132 0.1881 0.2789
S10 S 0.3266 0.4733 0.7199
S11 S 0.3307 0.6247 0.9611
S12 S 0.3768 0.1747 0.8518
S13 S 0.3923 0.8559 0.3918
S14 S 0.4818 0.5049 0.5009
S15 S 0.5777 0.1488 0.6165
S16 S 0.5976 0.8214 0.1526
S17 S 0.6411 0.4905 0.2741
S18 S 0.6452 0.3728 0.0328
S19 S 0.6586 0.8035 0.7224
S20 S 0.6671 0.9611 0.9618
S21 S 0.7050 0.5097 0.8490
S22 S 0.7217 0.1852 0.3927
S23 S 0.8107 0.8478 0.5097
S24 S 0.9214 0.4951 0.6268
S25 S 0.9300 0.1371 0.1456
S26 S 0.9642 0.6905 0.0324
S27 S 0.9975 0.1425 0.7243
```

***

Record 5
# Li8SbS6 PBE relaxed
data_Li8SbS6
_space_group_name_H-M_alt 'P 1'
_space_group_IT_number 1
_cell_length_a 7.4622
_cell_length_b 7.4622
_cell_length_c 7.4622
_cell_angle_alpha 54.79
_cell_angle_beta 54.79
_cell_angle_gamma 54.79
loop_
_space_group_symop_operation_xyz
'x,y,z'
loop_
_atom_site_label
_atom_site_type_symbol
_atom_site_fract_x
_atom_site_fract_y
_atom_site_fract_z
Li1 Li 0.0236 0.7182 0.3948
Li2 Li 0.1577 0.1577 0.1577
Li3 Li 0.2818 0.6052 0.9764
Li4 Li 0.3948 0.0236 0.7182
Li5 Li 0.6052 0.9764 0.2818
Li6 Li 0.7182 0.3948 0.0236
Li7 Li 0.8423 0.8423 0.8423
Li8 Li 0.9764 0.2818 0.6052
Sb1 Sb 0.5000 0.5000 0.5000
S1 S 0.1077 0.4066 0.7440
S2 S 0.2560 0.8923 0.5934
S3 S 0.4066 0.7440 0.1077
S4 S 0.5934 0.2560 0.8923
S5 S 0.7440 0.1077 0.4066
S6 S 0.8923 0.5934 0.2560
# Polymorph energy (0 for the lowest one) (meV/atom): 0
# Density of states at the Fermi level (states/eV/cell): 6.72

***

Record 6
# Li3SbS4 PBE relaxed
data_Li3SbS4
_space_group_name_H-M_alt 'P 1'
_space_group_IT_number 1
_cell_length_a 7.2083
_cell_length_b 9.2572
_cell_length_c 10.0913
_cell_angle_alpha 90.00
_cell_angle_beta 90.00
_cell_angle_gamma 90.00
loop_
_space_group_symop_operation_xyz
'x,y,z'
loop_
_atom_site_label
_atom_site_type_symbol
_atom_site_fract_x
_atom_site_fract_y
_atom_site_fract_z
Li1 Li 0.0094 0.2500 0.0963
Li2 Li 0.2329 0.0484 0.7416
Li3 Li 0.2329 0.4516 0.7416
Li4 Li 0.2671 0.5484 0.2416
Li5 Li 0.2671 0.9516 0.2416
Li6 Li 0.4906 0.7500 0.5963
Li7 Li 0.5094 0.2500 0.4037
Li8 Li 0.7329 0.0484 0.7584
Li9 Li 0.7329 0.4516 0.7584
Li10 Li 0.7671 0.5484 0.2584
Li11 Li 0.7671 0.9516 0.2584
Li12 Li 0.9906 0.7500 0.9037
Sb1 Sb 0.0742 0.2500 0.4921
Sb2 Sb 0.4258 0.7500 0.9921
Sb3 Sb 0.5742 0.2500 0.0079
Sb4 Sb 0.9258 0.7500 0.5079
S1 S 0.0197 0.7500 0.2818
S2 S 0.1499 0.7500 0.6800
S3 S 0.2166 0.5526 0.9786
S4 S 0.2166 0.9474 0.9786
S5 S 0.2834 0.0526 0.4786
S6 S 0.2834 0.4474 0.4786
S7 S 0.3501 0.2500 0.1800
S8 S 0.4803 0.2500 0.7818
S9 S 0.5197 0.7500 0.2182
S10 S 0.6499 0.7500 0.8200
S11 S 0.7166 0.5526 0.5214
S12 S 0.7166 0.9474 0.5214
S13 S 0.7834 0.0526 0.0214
S14 S 0.7834 0.4474 0.0214
S15 S 0.8501 0.2500 0.3200
S16 S 0.9803 0.2500 0.7182
# Polymorph energy (0 for the lowest one) (meV/atom): 76

***

Record 7
# Li3Sc3SbS8 PBE relaxed
data_Li3Sc3SbS8
_space_group_name_H-M_alt 'P 1'
_space_group_IT_number 1
_cell_length_a 7.4814
_cell_length_b 7.4814
_cell_length_c 7.4814
_cell_angle_alpha 59.69
_cell_angle_beta 59.69
_cell_angle_gamma 59.69
loop_
_space_group_symop_operation_xyz
'x,y,z'
loop_
_atom_site_label
_atom_site_type_symbol
_atom_site_fract_x
_atom_site_fract_y
_atom_site_fract_z
Li1 Li 0.0000 0.5000 0.5000
Li2 Li 0.5000 0.0000 0.5000
Li3 Li 0.5000 0.5000 0.0000
Sc1 Sc 0.0000 0.0000 0.5000
Sc2 Sc 0.0000 0.5000 0.0000
Sc3 Sc 0.5000 0.0000 0.0000
Sb1 Sb 0.5000 0.5000 0.5000
S1 S 0.2449 0.7471 0.7471
S2 S 0.2464 0.2464 0.2464
S3 S 0.2529 0.2529 0.7551
S4 S 0.2529 0.7551 0.2529
S5 S 0.7471 0.2449 0.7471
S6 S 0.7471 0.7471 0.2449
S7 S 0.7536 0.7536 0.7536
S8 S 0.7551 0.2529 0.2529
# Density of states at the Fermi level (states/eV/cell): 1.20

***

Record 8
# LiScSbS4 PBE relaxed
data_LiScSbS4
_space_group_name_H-M_alt 'P 1'
_space_group_IT_number 1
_cell_length_a 7.6358
_cell_length_b 7.6358
_cell_length_c 7.6358
_cell_angle_alpha 121.06
_cell_angle_beta 120.17
_cell_angle_gamma 88.94
loop_
_space_group_symop_operation_xyz
'x,y,z'
loop_
_atom_site_label
_atom_site_type_symbol
_atom_site_fract_x
_atom_site_fract_y
_atom_site_fract_z
Li1 Li 0.3877 0.1377 0.2500
Li2 Li 0.6123 0.8623 0.7500
Sc1 Sc 0.0000 0.0000 0.5000
Sc2 Sc 0.0000 0.5000 0.0000
Sb1 Sb 0.0000 0.5000 0.5000
Sb2 Sb 0.5000 0.5000 0.0000
S1 S 0.2234 0.7398 0.4836
S2 S 0.2385 0.2413 0.5029
S3 S 0.2385 0.7356 0.9971
S4 S 0.2439 0.2602 0.9836
S5 S 0.7561 0.7398 0.0164
S6 S 0.7615 0.2644 0.0029
S7 S 0.7615 0.7587 0.4971
S8 S 0.7766 0.2602 0.5164
# Density of states at the Fermi level (states/eV/cell): 3.60

***

Results for calculated volume: 669.1 291.4 581.4 1174.8 258.2 673.4 294.0 311.8 (in Å³/cell, following the order of the records).
Results for raw formation energy: -0.90 -0.92 -1.05 -0.35 -1.06 -0.77 -1.43 -1.06 (in eV per atom, following the order of the records).